Density functional theory data (meta-GGA SCAN) for a PBEsol-optimized structure of CsMg2Sn2.

The structure belongs to space group I4/mmm (No. 139); the cell edges are 5.059, 5.059 and 12.058 Å and the angles 90.00°, 90.00° and 90.00°. The asymmetric unit holds Cs at (0.000, 0.000, 0.000), Mg at (0.000, 0.500, 0.250) and Sn at (0.000, 0.000, 0.380).

The total energy comes out at -24.166 eV per atom. Its formation energy is -0.246 eV/atom. As for the spin magnetization: 0.0 Bohr magnetons per cell.

Density functional theory data (meta-GGA SCAN) for a PBEsol-optimized structure of CsYMg2Tc.

The structure belongs to space group P4/mmm (No. 123); the cell edges are 5.472, 5.472 and 4.996 Å and the angles 90.00°, 90.00° and 90.00°. The asymmetric unit holds Cs at (0.000, 0.000, 0.000), Y at (0.500, 0.500, 0.500), Mg at (0.000, 0.500, 0.000) and Tc at (0.000, 0.000, 0.500).

The total energy comes out at -20.383 eV per atom. Its formation energy is 1.749 eV/atom. As for the spin magnetization: 1.7 Bohr magnetons per cell.

Density functional theory data (meta-GGA SCAN) for a PBEsol-optimized structure of Cs2MgTe.

The structure belongs to space group Fm-3m (No. 225); the cell edges are 8.913, 8.913 and 8.913 Å and the angles 90.00°, 90.00° and 90.00°. The asymmetric unit holds Cs at (0.250, 0.250, 0.250), Mg at (0.000, 0.000, 0.000) and Te at (0.000, 0.000, 0.500).

The total energy comes out at -29.988 eV per atom. As for the energy relative to the elements, uncorrected: -0.53 eV/atom. As for the spin magnetization: 0.0 Bohr magnetons per cell.

Density functional theory data (meta-GGA SCAN) for a PBEsol-optimized structure of CsMg2Tl2.

The structure belongs to space group I4/mmm (No. 139); the cell edges are 5.136, 5.136 and 12.347 Å and the angles 90.00°, 90.00° and 90.00°. The asymmetric unit holds Cs at (0.000, 0.000, 0.000), Mg at (0.000, 0.500, 0.250) and Tl at (0.000, 0.000, 0.375).

The total energy comes out at -38.624 eV per atom. Its formation energy is -0.129 eV/atom. As for the spin magnetization: 0.0 Bohr magnetons per cell.

Density functional theory data (meta-GGA SCAN) for a PBEsol-optimized structure of CsMgTl3.

The structure belongs to space group Pm-3m (No. 221); the cell edges are 6.366, 6.366 and 6.366 Å and the angles 90.00°, 90.00° and 90.00°. The asymmetric unit holds Cs at (0.000, 0.000, 0.000), Mg at (0.500, 0.500, 0.500) and Tl at (0.000, 0.000, 0.500).

The total energy comes out at -51.002 eV per atom. Its formation energy is 0.969 eV/atom. As for the spin magnetization: 0.0 Bohr magnetons per cell.

Density functional theory data (meta-GGA SCAN) for a PBEsol-optimized structure of CsMgTl2.

The structure belongs to space group Fm-3m (No. 225); the cell edges are 8.052, 8.052 and 8.052 Å and the angles 90.00°, 90.00° and 90.00°. The asymmetric unit holds Cs at (0.000, 0.000, 0.000), Mg at (0.000, 0.000, 0.500) and Tl at (0.250, 0.250, 0.250).

The total energy comes out at -46.797 eV per atom. Its formation energy is 0.078 eV/atom. As for the spin magnetization: 0.0 Bohr magnetons per cell.

Density functional theory data (meta-GGA SCAN) for a PBEsol-optimized structure of CsMn2Mo.

The structure belongs to space group Fm-3m (No. 225); the cell edges are 6.705, 6.705 and 6.705 Å and the angles 90.00°, 90.00° and 90.00°. The asymmetric unit holds Cs at (0.000, 0.000, 0.000), Mn at (0.250, 0.250, 0.250) and Mo at (0.000, 0.000, 0.500).

The total energy comes out at -25.748 eV per atom. Its formation energy is 1.554 eV/atom. As for the spin magnetization: 19.2 Bohr magnetons per cell.

Density functional theory data (meta-GGA SCAN) for a PBEsol-optimized structure of CsMn2MoRh.

The structure belongs to space group P4/mmm (No. 123); the cell edges are 4.615, 4.615 and 4.852 Å and the angles 90.00°, 90.00° and 90.00°. The asymmetric unit holds Cs at (0.000, 0.000, 0.000), Mn at (0.000, 0.500, 0.000), Mo at (0.000, 0.000, 0.500) and Rh at (0.500, 0.500, 0.500).

The total energy comes out at -25.729 eV per atom. Its formation energy is 2.866 eV/atom. As for the spin magnetization: 4.6 Bohr magnetons per cell.